Density functional theory data (PBE) for crystalline TcHgH2Br at its relaxed geometry.

Lattice parameters (Å, degrees): 3.7840 3.7840 7.8588 90.00 90.00 90.00
Fractional positions:
1 Tc 0.0000 0.0000 0.0000
2 Hg 0.5000 0.5000 0.0000
3 H 0.0000 0.5000 0.5000
4 H 0.5000 0.0000 0.5000
5 Br 0.5000 0.5000 0.5000

Properties
* total energy: -2.66 eV per atom
* SG: No. 123

Density functional theory data (PBE) for crystalline La3SmY2Ho6 at its relaxed geometry.

Lattice parameters (Å, degrees): 6.2386 6.2386 11.8629 95.02 95.02 120.01
Fractional positions:
1 La 0.0000 0.0000 0.0000
2 La 0.3332 0.6668 0.0000
3 La 0.6668 0.3332 0.0000
4 Sm 0.5000 0.5000 0.5000
5 Y 0.1667 0.8333 0.5000
6 Y 0.8333 0.1667 0.5000
7 Ho 0.0852 0.4183 0.2540
8 Ho 0.2487 0.2487 0.7462
9 Ho 0.4183 0.0852 0.2540
10 Ho 0.5817 0.9148 0.7460
11 Ho 0.7513 0.7513 0.2538
12 Ho 0.9148 0.5817 0.7460

Properties
* total energy: -4.97 eV per atom
* formation enthalpy at 0 K: 0.02 eV/atom
* SG: No. 12